Record 1
Density functional theory data (PBE) for a relaxed structure of Li2BePb.

Cell: 9.141 9.141 9.141 Å, 20.07 20.07 20.07°
Element x y z (fractional)
Be  0.750  0.750  0.750
Li  0.490  0.490  0.490
Li  0.010  0.010  0.010
Pb  0.250  0.250  0.250

Properties
space-group type	R-3m
uncorrected energy	-0.183	Ry per atom
calculated density	4.9	g/cm3
DOS at the Fermi energy	0.538	states/eV per atom


Record 2
Density functional theory data (PBE) for a relaxed structure of CaSc3Cd.

Cell: 5.192 5.192 5.192 Å, 90.00 90.00 90.00°
Element x y z (fractional)
Sc  0.000  0.000  0.500
Sc  0.000  0.500  0.000
Sc  0.500  0.000  0.000
Ca  0.000  0.000  0.000
Cd  0.500  0.500  0.500

Properties
space-group type	Pm-3m
uncorrected energy	-0.245	Ry per atom
calculated density	3.4	g/cm3
DOS at the Fermi energy	0.816	states/eV per atom


Record 3
Density functional theory data (PBE) for a relaxed structure of DyHf2Sc8.

Cell: 5.375 8.433 8.729 Å, 61.12 72.80 52.24°
Element x y z (fractional)
Dy  0.500  0.000  0.000
Sc  0.500  0.793  0.414
Sc  0.500  0.207  0.586
Sc  0.271  0.464  0.000
Sc  0.729  0.536  0.000
Sc  0.208  0.644  0.261
Sc  0.792  0.095  0.261
Sc  0.792  0.356  0.739
Sc  0.208  0.905  0.739
Hf  0.000  0.310  0.380
Hf  0.000  0.690  0.620

Properties
space-group type	C2/m
uncorrected energy	-0.489	Ry per atom
calculated density	5.3	g/cm3
DOS at the Fermi energy	1.227	states/eV per atom


Record 4
Density functional theory data (PBE) for a relaxed structure of HfPbO.

Cell: 6.209 6.460 6.401 Å, 90.00 90.00 90.00°
Element x y z (fractional)
Pb  0.750  0.843  0.794
Pb  0.750  0.657  0.294
Pb  0.250  0.157  0.206
Pb  0.250  0.343  0.706
Hf  0.750  0.136  0.165
Hf  0.250  0.864  0.835
Hf  0.250  0.636  0.335
Hf  0.750  0.364  0.665
O  0.750  0.123  0.475
O  0.250  0.623  0.025
O  0.250  0.877  0.525
O  0.750  0.377  0.975

Properties
raw formation energy	-125	kJ per mole of atoms
space-group type	Pnma
calculated density	10.4	g/cm3
DOS at the Fermi energy	0.213	states/eV per atom


Record 5
Density functional theory data (PBE) for a relaxed structure of CaTi2Ag.

Cell: 4.853 4.853 4.853 Å, 60.00 60.00 60.00°
Element x y z (fractional)
Ca  0.000  0.000  0.000
Ag  0.500  0.500  0.500
Ti  0.250  0.250  0.250
Ti  0.750  0.750  0.750

Properties
space-group type	Fm-3m
uncorrected energy	-0.338	Ry per atom
calculated density	5.0	g/cm3
DOS at the Fermi energy	0.854	states/eV per atom


Record 6
Density functional theory data (PBE) for a relaxed structure of TiSnTe2I.

Cell: 5.450 5.450 5.447 Å, 90.00 90.00 90.00°
Element x y z (fractional)
Ti  0.000  0.000  0.000
Te  0.500  0.000  0.000
Te  0.000  0.500  0.000
Sn  0.500  0.500  0.500
I  0.000  0.000  0.500

Properties
raw formation energy	-8	kJ per mole of atoms
space-group type	P4/mmm
calculated density	5.6	g/cm3
DOS at the Fermi energy	1.079	states/eV per atom